DFT (PBE-GGA) results for a relaxed Dy2MnOs crystal. Values from VASP.

```
&SYSTEM
  ibrav = 0, nat = 4, ntyp = 3
/
ATOMIC_SPECIES
Dy 162.50 Dy.upf
Mn 54.94 Mn.upf
Os 190.23 Os.upf
CELL_PARAMETERS angstrom
-4.183 2.445 0.738
-3.029 -1.359 3.605
-0.515 2.833 3.966
ATOMIC_POSITIONS angstrom
Dy -1.932 0.980 2.077
Mn -3.864 1.960 4.155
Os 0.000 0.000 0.000
Dy -5.795 2.940 6.232
```

- ΔE_f (eV/atom) = 0.00
- DOS(E_F) (states/eV per cell) = 2.5

=====

DFT (PBE-GGA) results for a relaxed DyMn17Os crystal. Values from VASP.

```
&SYSTEM
  ibrav = 0, nat = 19, ntyp = 3
/
ATOMIC_SPECIES
Mn 54.94 Mn.upf
Dy 162.50 Dy.upf
Os 190.23 Os.upf
CELL_PARAMETERS angstrom
-1.727 2.026 -5.573
-6.106 0.066 0.928
-0.627 5.987 1.382
ATOMIC_POSITIONS angstrom
Mn -4.739 0.749 -0.978
Mn -2.265 4.192 1.130
Mn -5.380 7.939 -3.671
Mn -8.043 5.061 -3.892
Mn -7.671 7.325 -2.959
Mn -4.435 1.847 0.950
Mn -5.178 2.372 -2.773
Mn -6.168 2.800 -0.620
Mn -3.231 5.973 -0.376
Dy -5.543 5.293 -2.138
Mn -4.653 4.263 0.549
Mn -3.821 3.850 -4.104
Mn -7.508 6.987 -0.511
Mn -1.051 4.735 -0.672
Mn -0.774 0.739 -0.298
Mn -1.486 3.167 -3.427
Mn -3.005 1.525 -3.553
Os -2.858 2.729 -1.102
Mn -2.562 5.199 -2.556
```

- ΔE_f (eV/atom) = 0.13
- DOS(E_F) (states/eV per cell) = 25.3

=====

DFT (PBE-GGA) results for a relaxed Dy2Mn16Os crystal. Values from VASP.

```
&SYSTEM
  ibrav = 0, nat = 19, ntyp = 3
/
ATOMIC_SPECIES
Mn 54.94 Mn.upf
Dy 162.50 Dy.upf
Os 190.23 Os.upf
CELL_PARAMETERS angstrom
-2.508 3.851 4.383
0.935 -4.094 4.763
5.602 2.505 1.635
ATOMIC_POSITIONS angstrom
Mn 3.354 2.875 2.408
Mn 2.103 3.569 4.458
Mn 4.305 0.679 2.513
Dy 2.593 1.455 6.938
Mn 1.230 1.009 9.952
Mn 4.356 2.111 4.683
Mn -0.254 3.474 3.631
Mn 5.274 0.338 8.581
Dy 1.432 0.804 3.832
Mn 3.558 4.300 8.392
Mn 3.883 -0.539 4.655
Mn -0.012 -1.885 4.665
Mn 0.417 0.234 1.115
Mn -0.310 0.157 6.076
Mn 1.919 -1.335 6.316
Mn 2.229 -2.257 3.905
Mn 0.121 2.814 6.118
Os 3.620 2.032 9.688
Mn -1.544 1.649 4.495
```

- ΔE_f (eV/atom) = -0.01
- DOS(E_F) (states/eV per cell) = 18.9

=====

The lowest DOS(E_F) belongs to which entry? Dy2MnOs

=====

Which value of DOS(E_F) does entry 2 give? 25.3 states/eV per cell

=====

What is the DOS(E_F) in the second record? 25.3 states/eV per cell